Entry 1:
An optimized crystal structure of CuTeN3. Source: Alexandria, functional PBE-GGA.

Properties
The total energy comes out at -4.4751 eV per atom. The value obtained for the total magnetization is 0.001 μB/atom.

The structure in CIF format:
```
data_CuTeN3
_chemical_formula_sum 'Cu1 Te1 N3'
_space_group_name_H-M_alt 'P m -3 m'
_space_group_IT_number 221
_space_group_name_Hall '-P 4 2 3'
_cell_length_a 3.950
_cell_length_b 3.950
_cell_length_c 3.950
_cell_angle_alpha 90.00
_cell_angle_beta 90.00
_cell_angle_gamma 90.00
loop_
_atom_site_label
_atom_site_type_symbol
_atom_site_fract_x
_atom_site_fract_y
_atom_site_fract_z
_atom_site_occupancy
Cu1 Cu 0.000 0.000 0.000 1
Te1 Te 0.500 0.500 0.500 1
N1 N 0.000 0.500 0.500 1
```



Entry 2:
An optimized crystal structure of PrYHo2Sc. Source: Alexandria, functional PBE-GGA.

Properties
Its formation energy is 46 meV/atom. The value obtained for the total magnetization is 0.000 μB/atom.

The structure in CIF format:
```
data_PrYHo2Sc
_chemical_formula_sum 'Pr2 Y2 Ho4 Sc2'
_space_group_name_H-M_alt 'P 1 21/m 1'
_space_group_IT_number 11
_cell_length_a 7.854
_cell_length_b 4.999
_cell_length_c 7.866
_cell_angle_alpha 90.00
_cell_angle_beta 90.43
_cell_angle_gamma 90.00
loop_
_space_group_symop_operation_xyz
'x,y,z'
'-x,-y,-z'
'-x,y+1/2,-z'
'x,-y+1/2,z'
loop_
_atom_site_label
_atom_site_type_symbol
_atom_site_fract_x
_atom_site_fract_y
_atom_site_fract_z
_atom_site_occupancy
Pr1 Pr 0.244 0.250 0.240 1
Y1 Y 0.445 0.250 0.653 1
Ho1 Ho 0.147 0.750 0.547 1
Ho2 Ho 0.340 0.750 0.947 1
Sc1 Sc 0.048 0.250 0.850 1
```



Entry 3:
An optimized crystal structure of NaBRu. Source: Alexandria, functional PBE-GGA.

Properties
Its formation energy is -73 meV/atom. The value obtained for the total magnetization is 0.000 μB/atom.

The structure in CIF format:
```
data_NaBRu
_chemical_formula_sum 'Na2 B2 Ru2'
_space_group_name_H-M_alt 'P 4/n m m'
_space_group_IT_number 129
_cell_length_a 4.067
_cell_length_b 4.067
_cell_length_c 5.501
_cell_angle_alpha 90.00
_cell_angle_beta 90.00
_cell_angle_gamma 90.00
loop_
_space_group_symop_operation_xyz
'x,y,z'
'-x,-y,-z'
'-y+1/2,x,z'
'y+1/2,-x,-z'
'-x+1/2,-y+1/2,z'
'x+1/2,y+1/2,-z'
'y,-x+1/2,z'
'-y,x+1/2,-z'
'x+1/2,-y,-z'
'-x+1/2,y,z'
'-y,-x,-z'
'y,x,z'
'-x,y+1/2,-z'
'x,-y+1/2,z'
'y+1/2,x+1/2,-z'
'-y+1/2,-x+1/2,z'
loop_
_atom_site_label
_atom_site_type_symbol
_atom_site_fract_x
_atom_site_fract_y
_atom_site_fract_z
_atom_site_occupancy
Na1 Na 0.250 0.250 0.092 1
B1 B 0.250 0.250 0.601 1
Ru1 Ru 0.250 0.750 0.500 1
```



Entry 4:
An optimized crystal structure of LuMgScMn. Source: Alexandria, functional PBE-GGA.

Properties
Its formation energy is 101 meV/atom. The value obtained for the total magnetization is 0.734 μB/atom.

The structure in CIF format:
```
data_LuMgScMn
_chemical_formula_sum 'Lu4 Mg4 Sc4 Mn4'
_space_group_name_H-M_alt 'F -4 3 m'
_space_group_IT_number 216
_space_group_name_Hall 'F -4 2 3'
_cell_length_a 7.043
_cell_length_b 7.043
_cell_length_c 7.043
_cell_angle_alpha 90.00
_cell_angle_beta 90.00
_cell_angle_gamma 90.00
loop_
_atom_site_label
_atom_site_type_symbol
_atom_site_fract_x
_atom_site_fract_y
_atom_site_fract_z
_atom_site_occupancy
Lu1 Lu 0.000 0.000 0.000 1
Mg1 Mg 0.250 0.250 0.750 1
Sc1 Sc 0.000 0.000 0.500 1
Mn1 Mn 0.250 0.250 0.250 1
```